1.
VASP calculation (PBE) on a relaxed SrHfCo crystal.

a b c (Å): 4.656 4.656 4.656
angles (deg): 60.00 60.00 60.00
Atoms (fractional coordinates):
Co 0.000 0.000 0.000
Hf 0.250 0.250 0.250
Sr 0.750 0.750 0.750

Calculated values
Total DFT energy (no corrections) in eV per atom: -5.645
V in A^3/atom: 23.79
Crystal system: cubic
Energy above the most stable polymorph in this dataset in meV/atom: 0

2.
VASP calculation (PBE) on a relaxed DyNbN2O crystal.

a b c (Å): 5.686 3.855 5.978
angles (deg): 90.00 90.00 90.00
Atoms (fractional coordinates):
Dy 0.250 0.000 0.180
Dy 0.750 0.000 0.820
N 0.750 0.000 0.190
N 0.000 0.500 0.500
N 0.500 0.500 0.500
N 0.250 0.000 0.810
Nb 0.750 0.500 0.282
Nb 0.250 0.500 0.718
O 0.000 0.500 0.000
O 0.500 0.500 0.000

Calculated values
Total DFT energy (no corrections) in eV per atom: -8.832
V in A^3/atom: 13.11
Crystal system: orthorhombic

3.
VASP calculation (PBE) on a relaxed HoBeTl crystal.

a b c (Å): 4.799 4.799 4.799
angles (deg): 60.00 60.00 60.00
Atoms (fractional coordinates):
Be 0.500 0.500 0.500
Ho 0.250 0.250 0.250
Tl 0.000 0.000 0.000

Calculated values
Total DFT energy (no corrections) in eV per atom: -2.962
V in A^3/atom: 26.05
Crystal system: cubic
Energy above the most stable polymorph in this dataset in meV/atom: 357

4.
VASP calculation (PBE) on a relaxed Hf2ReNi crystal.

a b c (Å): 4.542 4.542 4.542
angles (deg): 60.00 60.00 60.00
Atoms (fractional coordinates):
Hf 0.000 0.000 0.000
Hf 0.250 0.250 0.250
Ni 0.750 0.750 0.750
Re 0.500 0.500 0.500

Calculated values
Total DFT energy (no corrections) in eV per atom: -9.414
V in A^3/atom: 16.57
Crystal system: cubic
Energy above the most stable polymorph in this dataset in meV/atom: 494
Energy relative to the elements in eV/atom: 0.061

5.
VASP calculation (PBE) on a relaxed Ho2TmSc3As2Os crystal.

a b c (Å): 4.080 7.503 7.503
angles (deg): 119.99 90.00 90.00
Atoms (fractional coordinates):
As 0.500 0.665 0.333
As 0.500 0.333 0.665
Ho 0.000 0.999 0.593
Ho 0.000 0.593 0.999
Os 0.000 0.004 0.004
Sc 0.500 0.999 0.238
Sc 0.500 0.764 0.764
Sc 0.500 0.238 0.999
Tm 0.000 0.405 0.405

Calculated values
Total DFT energy (no corrections) in eV per atom: -6.757
V in A^3/atom: 22.10
Crystal system: orthorhombic

6.
VASP calculation (PBE) on a relaxed Hf2CuIr crystal.

a b c (Å): 4.536 4.536 4.536
angles (deg): 60.00 60.00 60.00
Atoms (fractional coordinates):
Cu 0.250 0.250 0.250
Hf 0.000 0.000 0.000
Hf 0.750 0.750 0.750
Ir 0.500 0.500 0.500

Calculated values
Total DFT energy (no corrections) in eV per atom: -8.423
V in A^3/atom: 16.50
Crystal system: cubic
Energy above the most stable polymorph in this dataset in meV/atom: 271
Energy relative to the elements in eV/atom: -0.302

Question: What is the V in the second record?
Answer: 13.11 A^3/atom

Repeat the sixth record exactly.
VASP calculation (PBE) on a relaxed Hf2CuIr crystal.

a b c (Å): 4.536 4.536 4.536
angles (deg): 60.00 60.00 60.00
Atoms (fractional coordinates):
Cu 0.250 0.250 0.250
Hf 0.000 0.000 0.000
Hf 0.750 0.750 0.750
Ir 0.500 0.500 0.500

Calculated values
Total DFT energy (no corrections) in eV per atom: -8.423
V in A^3/atom: 16.50
Crystal system: cubic
Energy above the most stable polymorph in this dataset in meV/atom: 271
Energy relative to the elements in eV/atom: -0.302

Question: Which of these has the lowest V?
Answer: DyNbN2O

Question: Among the records above, which one has the highest total DFT energy (no corrections)?
Answer: HoBeTl